{
  "formula": "Na2AgPtO4",
  "functional": "PBE",
  "state": "relaxed",
  "lattice_angstrom": [[-3.033, 0.320, 0.874], [0.942, -4.083, 4.764], [0.870, 5.697, 0.935]],
  "species": ["O", "O", "O", "O", "Pt", "Na", "Na", "Ag"],
  "frac_coords": [[0.000, 0.306, 0.761], [0.000, 0.694, 0.239], [0.500, 0.275, 0.157], [0.500, 0.725, 0.843], [0.500, 0.500, 0.000], [0.500, 0.000, 0.500], [0.000, 0.500, 0.500], [0.000, 0.000, 0.000]],
  "magmom_total_mub_per_atom": 0.0674,
  "final_energy_ha_per_atom": -0.1756
}

***

{
  "formula": "Na2Ag2PtO6",
  "functional": "PBE",
  "state": "relaxed",
  "lattice_angstrom": [[-3.997, -4.496, 1.343], [1.807, -5.890, -0.193], [0.678, -3.196, 5.464]],
  "species": ["Ag", "Ag", "Na", "Na", "O", "O", "O", "O", "O", "O", "Pt"],
  "frac_coords": [[0.604, 0.604, 0.187], [0.396, 0.396, 0.813], [0.806, 0.806, 0.583], [0.194, 0.194, 0.417], [0.221, 0.791, 0.767], [0.779, 0.209, 0.233], [0.221, 0.221, 0.767], [0.779, 0.779, 0.233], [0.791, 0.221, 0.767], [0.209, 0.779, 0.233], [0.000, 0.000, 0.000]],
  "magmom_total_mub_per_atom": 0.0000,
  "final_energy_ha_per_atom": -0.1624
}

***

{
  "formula": "NaAg2PtO",
  "functional": "PBE",
  "state": "relaxed",
  "lattice_angstrom": [[-3.384, -3.215, -2.100], [4.035, -2.954, -1.981], [0.031, -2.821, 4.270]],
  "species": ["Pt", "Ag", "Ag", "Na", "O"],
  "frac_coords": [[0.000, 0.000, 0.000], [0.500, 0.000, 0.000], [0.000, 0.000, 0.500], [0.000, 0.500, 0.000], [0.500, 0.500, 0.500]],
  "magmom_total_mub_per_atom": 0.0000,
  "final_energy_ha_per_atom": -0.0989
}

***

{
  "formula": "Na4AgPt3O8",
  "functional": "PBE",
  "state": "relaxed",
  "lattice_angstrom": [[-2.123, 1.230, 5.791], [5.423, -1.612, 2.331], [-0.377, 5.367, -4.694]],
  "species": ["Pt", "Pt", "Pt", "O", "O", "O", "O", "O", "O", "O", "O", "Ag", "Na", "Na", "Na", "Na"],
  "frac_coords": [[0.000, 0.500, 0.500], [0.500, 0.500, 0.500], [0.500, 0.500, 0.000], [0.210, 0.246, 0.420], [0.667, 0.636, 0.873], [0.790, 0.754, 0.580], [0.272, 0.741, 0.543], [0.333, 0.364, 0.127], [0.793, 0.364, 0.127], [0.728, 0.259, 0.457], [0.207, 0.636, 0.873], [0.000, 0.500, 0.000], [0.000, 0.000, 0.000], [0.500, 0.000, 0.500], [0.000, 0.000, 0.500], [0.500, 0.000, 0.000]],
  "magmom_total_mub_per_atom": 0.0000,
  "final_energy_ha_per_atom": -0.1846
}